A plane-wave DFT calculation with GGA-PBE was carried out for a relaxed LaSmSbTe crystal.

CIF file:
```
data_LaSmSbTe
_chemical_formula_sum 'La3 Sm3 Sb3 Te3'
_cell_length_a 5.5184
_cell_length_b 5.5184
_cell_length_c 13.5502
_cell_angle_alpha 90.00
_cell_angle_beta 90.00
_cell_angle_gamma 120.00
_space_group_name_H-M_alt 'R 3 m'
_space_group_IT_number 160
_space_group_name_Hall 'R 3 -2"'
loop_
_atom_site_label
_atom_site_fract_x
_atom_site_fract_y
_atom_site_fract_z
La1 0.0000 0.0000 0.0000
Sm1 0.0000 0.0000 0.5000
Sb1 0.0000 0.0000 0.7501
Te1 0.0000 0.0000 0.2498
```

Calculated values
**Mass density**: 7.51 Mg/m³
**Total energy**: -64.66 eV/cell
**Total magnetic moment**: 1.5 Bohr magnetons per cell